1.
A plane-wave DFT calculation with PBE-GGA was carried out for an optimized crystal structure of Co2ReAu.

* total moment: 4.3 μB/cell
* energy of formation from the pure elements: 0.35 eV per atom
* energy: -28.55 eV per formula unit

```
data_Co2ReAu
_cell_length_a 5.477
_cell_length_b 7.312
_cell_length_c 2.688
_cell_angle_alpha 90.00
_cell_angle_beta 90.00
_cell_angle_gamma 90.00
_space_group_name_H-M_alt 'C m m m'
_space_group_IT_number 65
_space_group_name_Hall '-C 2 2'
loop_
_atom_site_label
_atom_site_type_symbol
_atom_site_fract_x
_atom_site_fract_y
_atom_site_fract_z
_atom_site_occupancy
Co1 Co 0.250 0.250 0.000 1
Re1 Re 0.000 0.000 0.500 1
Au1 Au 0.000 0.500 0.500 1
```

=====

2.
A plane-wave DFT calculation with PBE-GGA was carried out for an optimized crystal structure of InPd3Pt.

* total moment: 0.0 μB/cell
* energy of formation from the pure elements: -0.19 eV per atom
* energy: -25.29 eV per formula unit

```
data_InPd3Pt
_cell_length_a 6.123
_cell_length_b 6.227
_cell_length_c 10.408
_cell_angle_alpha 90.00
_cell_angle_beta 120.23
_cell_angle_gamma 90.00
_space_group_name_H-M_alt 'P 1 21/c 1'
_space_group_IT_number 14
loop_
_space_group_symop_operation_xyz
'x,y,z'
'-x,-y,-z'
'-x,y+1/2,-z+1/2'
'x,-y+1/2,z+1/2'
loop_
_atom_site_label
_atom_site_type_symbol
_atom_site_fract_x
_atom_site_fract_y
_atom_site_fract_z
_atom_site_occupancy
In1 In 0.178 0.162 0.153 1
Pd1 Pd 0.057 0.066 0.388 1
Pd2 Pd 0.336 0.749 0.103 1
Pd3 Pd 0.442 0.651 0.881 1
Pt1 Pt 0.259 0.049 0.895 1
```

=====

3.
A plane-wave DFT calculation with PBE-GGA was carried out for an optimized crystal structure of CaY3Er4Se8.

* total moment: 0.0 μB/cell
* E_form (uncorrected): -1.75 eV/atom
* energy: -95.58 eV per formula unit

```
data_CaY3Er4Se8
_cell_length_a 8.1470
_cell_length_b 8.1470
_cell_length_c 19.9472
_cell_angle_alpha 90.00
_cell_angle_beta 90.00
_cell_angle_gamma 120.00
_space_group_name_H-M_alt 'R -3 m'
_space_group_IT_number 166
_space_group_name_Hall '-R 3 2"'
loop_
_atom_site_label
_atom_site_type_symbol
_atom_site_fract_x
_atom_site_fract_y
_atom_site_fract_z
_atom_site_occupancy
Ca1 Ca 0.0000 0.0000 0.0000 1
Y1 Y 0.0000 0.5000 0.0000 1
Er1 Er 0.0000 0.0000 0.5000 1
Er2 Er 0.0000 0.5000 0.5000 1
Se1 Se 0.0000 0.0000 0.2483 1
Se2 Se 0.0000 0.5000 0.2484 1
```

=====

4.
A plane-wave DFT calculation with PBE-GGA was carried out for an optimized crystal structure of VIrPb3.

* total moment: 3.8 μB/cell
* energy of formation from the pure elements: 1.15 eV per atom
* energy: -23.37 eV per formula unit

```
data_VIrPb3
_cell_length_a 5.207
_cell_length_b 5.207
_cell_length_c 5.207
_cell_angle_alpha 90.00
_cell_angle_beta 90.00
_cell_angle_gamma 90.00
_space_group_name_H-M_alt 'P m -3 m'
_space_group_IT_number 221
_space_group_name_Hall '-P 4 2 3'
loop_
_atom_site_label
_atom_site_type_symbol
_atom_site_fract_x
_atom_site_fract_y
_atom_site_fract_z
_atom_site_occupancy
V1 V 0.000 0.000 0.000 1
Ir1 Ir 0.500 0.500 0.500 1
Pb1 Pb 0.000 0.000 0.500 1
```

=====

5.
A plane-wave DFT calculation with PBE-GGA was carried out for an optimized crystal structure of Na2NbPd2O6.

* total moment: 1.9 μB/cell
* E_form (uncorrected): -1.35 eV/atom
* energy: -67.70 eV per formula unit

```
data_Na2NbPd2O6
_cell_length_a 5.927
_cell_length_b 9.051
_cell_length_c 6.150
_cell_angle_alpha 90.00
_cell_angle_beta 114.91
_cell_angle_gamma 90.00
_space_group_name_H-M_alt 'C 1 2/m 1'
_space_group_IT_number 12
loop_
_space_group_symop_operation_xyz
'x,y,z'
'-x,-y,-z'
'-x,y,-z'
'x,-y,z'
'x+1/2,y+1/2,z'
'-x+1/2,-y+1/2,-z'
'-x+1/2,y+1/2,-z'
'x+1/2,-y+1/2,z'
loop_
_atom_site_label
_atom_site_type_symbol
_atom_site_fract_x
_atom_site_fract_y
_atom_site_fract_z
_atom_site_occupancy
Na1 Na 0.000 0.182 0.000 1
Nb1 Nb 0.000 0.000 0.500 1
Pd1 Pd 0.000 0.332 0.500 1
O1 O 0.196 0.162 0.720 1
O2 O 0.245 0.000 0.322 1
```

=====

6.
A plane-wave DFT calculation with PBE-GGA was carried out for an optimized crystal structure of Ba2MnSnAu6.

* total moment: 4.0 μB/cell
* energy of formation from the pure elements: -0.38 eV per atom
* energy: -40.50 eV per formula unit

```
data_Ba2MnSnAu6
_cell_length_a 7.108
_cell_length_b 7.135
_cell_length_c 7.269
_cell_angle_alpha 89.13
_cell_angle_beta 61.36
_cell_angle_gamma 60.27
_space_group_name_H-M_alt 'P -1'
_space_group_IT_number 2
loop_
_space_group_symop_operation_xyz
'x,y,z'
'-x,-y,-z'
loop_
_atom_site_label
_atom_site_type_symbol
_atom_site_fract_x
_atom_site_fract_y
_atom_site_fract_z
_atom_site_occupancy
Ba1 Ba 0.064 0.217 0.156 1
Mn1 Mn 0.500 0.000 0.500 1
Sn1 Sn 0.500 0.500 0.000 1
Au1 Au 0.012 0.239 0.668 1
Au2 Au 0.393 0.346 0.360 1
Au3 Au 0.404 0.765 0.343 1
```

=====

7.
A plane-wave DFT calculation with PBE-GGA was carried out for an optimized crystal structure of ErMgCuIr.

* total moment: 0.0 μB/cell
* energy of formation from the pure elements: -0.45 eV per atom
* energy: -20.91 eV per formula unit

```
data_ErMgCuIr
_cell_length_a 6.589
_cell_length_b 6.589
_cell_length_c 6.589
_cell_angle_alpha 90.00
_cell_angle_beta 90.00
_cell_angle_gamma 90.00
_space_group_name_H-M_alt 'F -4 3 m'
_space_group_IT_number 216
_space_group_name_Hall 'F -4 2 3'
loop_
_atom_site_label
_atom_site_type_symbol
_atom_site_fract_x
_atom_site_fract_y
_atom_site_fract_z
_atom_site_occupancy
Er1 Er 0.000 0.000 0.000 1
Mg1 Mg 0.000 0.000 0.500 1
Cu1 Cu 0.250 0.250 0.750 1
Ir1 Ir 0.250 0.250 0.250 1
```

=====

8.
A plane-wave DFT calculation with PBE-GGA was carried out for an optimized crystal structure of MgCuAs2O6.

* total moment: 0.0 μB/cell
* E_form (uncorrected): -1.26 eV/atom
* energy: -57.34 eV per formula unit

```
data_MgCuAs2O6
_cell_length_a 9.799
_cell_length_b 9.146
_cell_length_c 5.636
_cell_angle_alpha 90.00
_cell_angle_beta 105.15
_cell_angle_gamma 90.00
_space_group_name_H-M_alt 'C 1 2/c 1'
_space_group_IT_number 15
loop_
_space_group_symop_operation_xyz
'x,y,z'
'-x,-y,-z'
'-x,y,-z+1/2'
'x,-y,z+1/2'
'x+1/2,y+1/2,z'
'-x+1/2,-y+1/2,-z'
'-x+1/2,y+1/2,-z+1/2'
'x+1/2,-y+1/2,z+1/2'
loop_
_atom_site_label
_atom_site_type_symbol
_atom_site_fract_x
_atom_site_fract_y
_atom_site_fract_z
_atom_site_occupancy
Mg1 Mg 0.000 0.096 0.250 1
Cu1 Cu 0.000 0.265 0.750 1
As1 As 0.195 0.407 0.299 1
O1 O 0.115 0.260 0.116 1
O2 O 0.117 0.086 0.628 1
O3 O 0.142 0.431 0.616 1
```

=====

Calculated theoretical density (g/cm³), listed in the same order as above: 15.46 12.19 6.98 10.17 4.97 10.07 10.39 4.55